# 1
VASP calculation (PBE-GGA) on a relaxed NaRe3Ge crystal.

Cell: 4.540 4.540 4.540 Å, 90.00 90.00 90.00°
Fractional positions:
1 Re 0.000 0.000 0.500
2 Re 0.500 0.000 0.000
3 Re 0.000 0.500 0.000
4 Na 0.000 0.000 0.000
5 Ge 0.500 0.500 0.500



# 2
VASP calculation (PBE-GGA) on a relaxed NaReGe crystal.

Cell: 4.450 6.362 5.119 Å, 79.33 64.28 69.56°
Fractional positions:
1 Re 0.947 0.222 0.472
2 Re 0.765 0.095 0.962
3 Ge 0.429 0.378 0.353
4 Ge 0.283 0.940 0.081
5 Na 0.067 0.533 0.920
6 Na 0.645 0.785 0.513



Number 1: DOS(E_F) 0.691 states/eV per atom, formation energy from the elements 3.13 eV/atom. Number 2: DOS(E_F) 0.238 states/eV per atom, formation energy from the elements 0.25 eV/atom.